1.
Compound: OsSeI3
Source: Alexandria via LeMat-Bulk
Functional: SCAN
Structure: PBEsol geometry

Cell: 5.5746 5.5746 5.5746 Å, 90.00 90.00 90.00°
Space group Pm-3m (No. 221)
Symmetry-distinct sites (fractional):
Os  0.0000  0.0000  0.0000 x1
Se  0.5000  0.5000  0.5000 x1
I  0.0000  0.5000  0.5000 x3

* density: 6.2 g cm⁻³

2.
Compound: SiOsI3
Source: Alexandria via LeMat-Bulk
Functional: SCAN
Structure: PBEsol geometry

Cell: 5.4374 5.4374 5.4374 Å, 90.00 90.00 90.00°
Space group Pm-3m (No. 221)
Symmetry-distinct sites (fractional):
Si  0.0000  0.0000  0.0000 x1
Os  0.5000  0.5000  0.5000 x1
I  0.0000  0.0000  0.5000 x3

* density: 6.2 g cm⁻³

3.
Compound: Si3OsI
Source: Alexandria via LeMat-Bulk
Functional: SCAN
Structure: PBEsol geometry

Cell: 4.9843 4.9843 4.9843 Å, 90.00 90.00 90.00°
Space group Pm-3m (No. 221)
Symmetry-distinct sites (fractional):
Si  0.0000  0.0000  0.5000 x3
Os  0.5000  0.5000  0.5000 x1
I  0.0000  0.0000  0.0000 x1

* density: 5.4 g cm⁻³

4.
Compound: Sn3OsI
Source: Alexandria via LeMat-Bulk
Functional: SCAN
Structure: PBEsol geometry

Cell: 5.5952 5.5952 5.5952 Å, 90.00 90.00 90.00°
Space group Pm-3m (No. 221)
Symmetry-distinct sites (fractional):
Sn  0.0000  0.0000  0.5000 x3
Os  0.5000  0.5000  0.5000 x1
I  0.0000  0.0000  0.0000 x1

* density: 6.4 g cm⁻³

Number 1: formation energy from raw total energies 154.4 kJ/mol of atoms. Number 2: formation energy from raw total energies 144.8 kJ/mol of atoms. Number 3: formation energy from raw total energies 275.4 kJ/mol of atoms. Number 4: formation energy from raw total energies 215.5 kJ/mol of atoms.